(1)
Density functional theory data (PBEsol) for crystalline Cu3C at its relaxed geometry.

CIF file:
```
data_Cu3C
_space_group_name_H-M_alt 'P m -3 m'
_space_group_IT_number 221
_space_group_name_Hall '-P 4 2 3'
_cell_length_a 3.4056
_cell_length_b 3.4056
_cell_length_c 3.4056
_cell_angle_alpha 90.00
_cell_angle_beta 90.00
_cell_angle_gamma 90.00
loop_
_atom_site_label
_atom_site_type_symbol
_atom_site_fract_x
_atom_site_fract_y
_atom_site_fract_z
Cu1 Cu 0.0000 0.0000 0.5000
C1 C 0.5000 0.5000 0.5000
```

## Properties
**Calculated formation energy**: 23.4 kcal/mol of atoms
**V**: 39 Å³ per cell



(2)
Density functional theory data (PBEsol) for crystalline Cr2ReTe at its relaxed geometry.

CIF file:
```
data_Cr2ReTe
_space_group_name_H-M_alt 'C 1 m 1'
_space_group_IT_number 8
_space_group_name_Hall 'C -2y'
_cell_length_a 8.9251
_cell_length_b 2.9968
_cell_length_c 4.4463
_cell_angle_alpha 90.00
_cell_angle_beta 101.09
_cell_angle_gamma 90.00
loop_
_atom_site_label
_atom_site_type_symbol
_atom_site_fract_x
_atom_site_fract_y
_atom_site_fract_z
Cr1 Cr 0.0000 0.0000 0.0000
Cr2 Cr 0.2402 0.5000 0.2396
Re1 Re 0.2605 0.0000 0.8112
Te1 Te 0.4974 0.0000 0.4900
```

## Properties
**Formation energy (no corrections)**: 0.50 eV per atom
**V**: 117 Å³ per cell



(3)
Density functional theory data (PBEsol) for crystalline MnBeIr2 at its relaxed geometry.

CIF file:
```
data_MnBeIr2
_space_group_name_H-M_alt 'A m m 2'
_space_group_IT_number 38
_space_group_name_Hall 'A 2 -2'
_cell_length_a 3.8111
_cell_length_b 2.6318
_cell_length_c 9.3824
_cell_angle_alpha 90.00
_cell_angle_beta 90.00
_cell_angle_gamma 90.00
loop_
_atom_site_label
_atom_site_type_symbol
_atom_site_fract_x
_atom_site_fract_y
_atom_site_fract_z
Mn1 Mn 0.0000 0.0000 0.0000
Be1 Be 0.5000 0.0000 0.8621
Ir1 Ir 0.0000 0.0000 0.2722
Ir2 Ir 0.5000 0.0000 0.6031
```

## Properties
**Calculated formation energy**: -3.4 kcal/mol of atoms
**V**: 94 Å³ per cell



(4)
Density functional theory data (PBEsol) for crystalline TiNbB2 at its relaxed geometry.

CIF file:
```
data_TiNbB2
_space_group_name_H-M_alt 'I -4 2 d'
_space_group_IT_number 122
_space_group_name_Hall 'I -4 2bw'
_cell_length_a 4.9457
_cell_length_b 4.9457
_cell_length_c 9.8392
_cell_angle_alpha 90.00
_cell_angle_beta 90.00
_cell_angle_gamma 90.00
loop_
_atom_site_label
_atom_site_type_symbol
_atom_site_fract_x
_atom_site_fract_y
_atom_site_fract_z
Ti1 Ti 0.0000 0.0000 0.0000
Nb1 Nb 0.0000 0.0000 0.5000
B1 B 0.2492 0.2500 0.1250
```

## Properties
**ΔE to the lowest computed polymorph**: 1530 meV/atom
**Calculated formation energy**: 15.2 kcal/mol of atoms
**V**: 241 Å³ per cell